[1]
{
  "formula": "LaZrIr2Au",
  "functional": "PBE",
  "state": "optimized geometry",
  "lattice_angstrom": [[5.082, 0.000, 0.000], [0.000, 5.082, 0.000], [0.000, 0.000, 4.866]],
  "species": ["Zr", "Ir", "Au", "La", "Ir"],
  "fractional_positions": [[0.000, 0.000, 0.500], [0.500, 0.000, 0.000], [0.000, 0.000, 0.000], [0.500, 0.500, 0.500], [0.000, 0.500, 0.000]]
}

***

[2]
{
  "formula": "Li2IrAu2",
  "functional": "PBE",
  "state": "optimized geometry",
  "relative_energy_mev_per_atom": 355,
  "lattice_angstrom": [[-0.498, 1.938, 3.376], [-0.308, -3.413, 1.914], [4.430, -0.765, 3.374]],
  "species": ["Li", "Ir", "Au", "Li", "Au"],
  "fractional_positions": [[0.598, 0.598, 0.803], [0.000, 0.000, 0.000], [0.750, 0.250, 0.500], [0.402, 0.402, 0.197], [0.250, 0.750, 0.500]]
}

***

[3]
{
  "formula": "LiIrAu2",
  "functional": "PBE",
  "state": "optimized geometry",
  "lattice_angstrom": [[-0.869, 2.361, -3.904], [-4.610, -0.528, -0.203], [2.381, 1.598, 3.654]],
  "species": ["Li", "Au", "Ir", "Au"],
  "fractional_positions": [[0.250, 0.750, 0.500], [0.500, 0.500, 0.000], [0.750, 0.250, 0.500], [0.000, 0.000, 0.000]]
}

***

[4]
{
  "formula": "LiIrAu2",
  "functional": "PBE",
  "state": "optimized geometry",
  "lattice_angstrom": [[-1.757, -2.006, 3.935], [-3.529, -1.909, -2.549], [1.576, -2.292, -0.465]],
  "species": ["Au", "Au", "Li", "Ir"],
  "fractional_positions": [[0.000, 0.000, 0.000], [0.500, 0.500, 0.000], [0.000, 0.500, 0.500], [0.500, 0.000, 0.500]]
}

***

[5]
{
  "formula": "LiIr4Au",
  "functional": "PBE",
  "state": "optimized geometry",
  "lattice_angstrom": [[-0.849, -5.100, 0.566], [-2.403, -1.780, 4.255], [-4.836, -1.885, -0.341]],
  "species": ["Ir", "Ir", "Au", "Ir", "Ir", "Li"],
  "fractional_positions": [[0.375, 0.875, 0.375], [0.375, 0.375, 0.875], [0.000, 0.000, 0.000], [0.875, 0.375, 0.375], [0.375, 0.375, 0.375], [0.750, 0.750, 0.750]]
}

***

[6]
{
  "formula": "LiIrAu2",
  "functional": "PBE",
  "state": "optimized geometry",
  "lattice_angstrom": [[-1.819, -3.782, -2.679], [1.288, -4.431, 1.871], [-2.025, 4.101, 1.967]],
  "species": ["Au", "Au", "Ir", "Li"],
  "fractional_positions": [[0.000, 0.000, 0.000], [0.250, 0.750, 0.500], [0.500, 0.500, 0.000], [0.750, 0.250, 0.500]]
}

***

Values for energy of formation, eV per atom, ordered as above
0.760, 0.248, 0.038, -0.148, 0.377, 0.051
Values for magnetic moment, μB per atom, ordered as above
0.24, 0.11, 0.00, 0.00, 0.37, 0.00
Values for final energy, eV/atom, ordered as above
-6.135, -3.601, -4.294, -4.480, -6.396, -4.281